[1]
HfRe2Sn: optimized geometry, PBE.

Cell lengths 4.635, 4.635, 4.635 Å; angles 60.00, 60.00, 60.00 degrees
Atoms (fractional coordinates):
Hf (0.250, 0.250, 0.250)
Sn (0.500, 0.500, 0.500)
Re (0.000, 0.000, 0.000)
Re (0.750, 0.750, 0.750)

## Properties
The calculation puts the electronic total energy at -37.379 eV/f.u. The volume is 17.60 A^3/atom.

=====

[2]
CsDyHo: optimized geometry, PBE.

Cell lengths 6.043, 6.043, 6.043 Å; angles 60.00, 60.00, 60.00 degrees
Atoms (fractional coordinates):
Cs (0.250, 0.250, 0.250)
Dy (0.750, 0.750, 0.750)
Ho (0.000, 0.000, 0.000)

## Properties
The calculation puts the electronic total energy at -6.200 eV/f.u. The volume is 52.03 A^3/atom.

=====

[3]
Mg3PdAu2: optimized geometry, PBE.

Cell lengths 3.252, 3.252, 9.846 Å; angles 90.00, 90.00, 90.00 degrees
Atoms (fractional coordinates):
Mg (0.500, 0.500, 0.000)
Mg (0.500, 0.500, 0.657)
Mg (0.500, 0.500, 0.343)
Pd (0.000, 0.000, 0.500)
Au (0.000, 0.000, 0.173)
Au (0.000, 0.000, 0.827)

## Properties
The calculation puts the electronic total energy at -20.314 eV/f.u. The volume is 17.36 A^3/atom.

=====

[4]
Tm6MoP2: optimized geometry, PBE.

Cell lengths 7.598, 7.598, 4.243 Å; angles 90.00, 90.00, 120.00 degrees
Atoms (fractional coordinates):
Tm (0.000, 0.408, 0.000)
Tm (0.408, 0.000, 0.000)
Tm (0.253, 0.253, 0.500)
Tm (0.747, 0.000, 0.500)
Tm (0.592, 0.592, 0.000)
Tm (0.000, 0.747, 0.500)
P (0.667, 0.333, 0.500)
P (0.333, 0.667, 0.500)
Mo (0.000, 0.000, 0.000)

## Properties
The calculation puts the electronic total energy at -54.013 eV/f.u. The volume is 23.57 A^3/atom.

=====

[5]
Al2PdSe4: optimized geometry, PBE.

Cell lengths 6.409, 6.409, 6.409 Å; angles 123.49, 123.49, 84.06 degrees
Atoms (fractional coordinates):
Al (0.250, 0.750, 0.500)
Al (0.500, 0.500, 0.000)
Pd (0.000, 0.000, 0.000)
Se (0.872, 0.386, 0.003)
Se (0.132, 0.128, 0.514)
Se (0.382, 0.868, 0.997)
Se (0.614, 0.618, 0.486)

## Properties
The calculation puts the electronic total energy at -30.449 eV/f.u. The volume is 25.04 A^3/atom.

=====

[6]
SrHfCu2: optimized geometry, PBE.

Cell lengths 4.710, 4.710, 4.710 Å; angles 60.00, 60.00, 60.00 degrees
Atoms (fractional coordinates):
Cu (0.000, 0.000, 0.000)
Cu (0.750, 0.750, 0.750)
Sr (0.500, 0.500, 0.500)
Hf (0.250, 0.250, 0.250)

## Properties
The calculation puts the electronic total energy at -16.746 eV/f.u. The volume is 18.47 A^3/atom.

=====

[7]
HoPuNp: optimized geometry, PBE.

Cell lengths 4.955, 4.955, 4.955 Å; angles 60.00, 60.00, 60.00 degrees
Atoms (fractional coordinates):
Ho (0.000, 0.000, 0.000)
Pu (0.750, 0.750, 0.750)
Np (0.500, 0.500, 0.500)

## Properties
Its relative energy among the computed polymorphs is 0.0 meV per atom. The volume is 28.67 A^3/atom. As for the formation energy: 0.881 eV per atom.

=====

[8]
Tc: optimized geometry, PBE.

Cell lengths 2.751, 2.751, 6.814 Å; angles 101.65, 78.35, 120.00 degrees
Atoms (fractional coordinates):
Tc (0.222, 0.778, 0.335)
Tc (0.000, 0.000, 0.000)
Tc (0.778, 0.222, 0.665)

## Properties
Its relative energy among the computed polymorphs is 15.4 meV per atom. The volume is 14.48 A^3/atom. As for the formation energy: 0.015 eV per atom.

=====

[9]
Mg2AgPd: optimized geometry, PBE.

Cell lengths 3.168, 4.632, 4.632 Å; angles 90.00, 90.00, 90.00 degrees
Atoms (fractional coordinates):
Pd (0.000, 0.500, 0.252)
Mg (0.500, 0.500, 0.752)
Mg (0.500, 0.000, 0.248)
Ag (0.000, 0.000, 0.747)

## Properties
The calculation puts the electronic total energy at -13.044 eV/f.u. The volume is 16.99 A^3/atom.

=====

[10]
Ag3BS3: optimized geometry, PBE.

Cell lengths 8.408, 8.408, 8.408 Å; angles 87.29, 87.29, 87.29 degrees
Atoms (fractional coordinates):
S (0.164, 0.952, 0.257)
S (0.836, 0.048, 0.743)
S (0.743, 0.836, 0.048)
S (0.952, 0.257, 0.164)
S (0.452, 0.664, 0.757)
S (0.048, 0.743, 0.836)
S (0.257, 0.164, 0.952)
S (0.664, 0.757, 0.452)
S (0.548, 0.336, 0.243)
S (0.757, 0.452, 0.664)
S (0.243, 0.548, 0.336)
S (0.336, 0.243, 0.548)
Ag (0.596, 0.080, 0.118)
Ag (0.420, 0.904, 0.382)
Ag (0.382, 0.420, 0.904)
Ag (0.618, 0.580, 0.096)
Ag (0.080, 0.118, 0.596)
Ag (0.118, 0.596, 0.080)
Ag (0.580, 0.096, 0.618)
Ag (0.096, 0.618, 0.580)
Ag (0.882, 0.404, 0.920)
Ag (0.920, 0.882, 0.404)
Ag (0.404, 0.920, 0.882)
Ag (0.904, 0.382, 0.420)
B (0.368, 0.368, 0.368)
B (0.132, 0.132, 0.132)
B (0.632, 0.632, 0.632)
B (0.868, 0.868, 0.868)

## Properties
The calculation puts the electronic total energy at -28.459 eV/f.u. The volume is 21.16 A^3/atom.

=====

[11]
Hf4CdC2Se: optimized geometry, PBE.

Cell lengths 3.361, 3.361, 13.779 Å; angles 90.00, 90.00, 120.00 degrees
Atoms (fractional coordinates):
Hf (0.000, 0.000, 0.818)
Hf (0.667, 0.333, 0.358)
Hf (0.000, 0.000, 0.182)
Hf (0.667, 0.333, 0.642)
Cd (0.667, 0.333, 0.000)
C (0.333, 0.667, 0.269)
C (0.333, 0.667, 0.731)
Se (0.000, 0.000, 0.500)

## Properties
The calculation puts the electronic total energy at -69.584 eV/f.u. The volume is 16.85 A^3/atom.

=====

[12]
CsPuCl6: optimized geometry, PBE.

Cell lengths 7.631, 7.631, 7.631 Å; angles 55.19, 55.19, 55.19 degrees
Atoms (fractional coordinates):
Pu (0.000, 0.000, 0.000)
Cl (0.092, 0.590, 0.092)
Cl (0.092, 0.092, 0.590)
Cl (0.590, 0.092, 0.092)
Cl (0.908, 0.908, 0.410)
Cl (0.908, 0.410, 0.908)
Cl (0.410, 0.908, 0.908)
Cs (0.500, 0.500, 0.500)

## Properties
The calculation puts the electronic total energy at -39.046 eV/f.u. The volume is 34.88 A^3/atom.

=====

[13]
GaTcB2: optimized geometry, PBE.

Cell lengths 3.975, 3.975, 3.975 Å; angles 60.00, 60.00, 60.00 degrees
Atoms (fractional coordinates):
Ga (0.500, 0.500, 0.500)
Tc (0.250, 0.250, 0.250)
B (0.750, 0.750, 0.750)
B (0.000, 0.000, 0.000)

## Properties
The calculation puts the electronic total energy at -21.504 eV/f.u. The volume is 11.10 A^3/atom.

=====

[14]
TaNbCS2: optimized geometry, PBE.

Cell lengths 3.286, 3.286, 9.578 Å; angles 90.00, 90.00, 120.00 degrees
Atoms (fractional coordinates):
Ta (0.333, 0.667, 0.876)
S (0.667, 0.333, 0.706)
S (0.333, 0.667, 0.296)
Nb (0.667, 0.333, 0.125)
C (0.000, 0.000, 0.997)

## Properties
The calculation puts the electronic total energy at -43.910 eV/f.u. The volume is 17.91 A^3/atom.

=====

[15]
CsCoReAu: optimized geometry, PBE.

Cell lengths 4.708, 4.708, 4.708 Å; angles 60.00, 60.00, 60.00 degrees
Atoms (fractional coordinates):
Co (0.000, 0.000, 0.000)
Au (0.750, 0.750, 0.750)
Cs (0.250, 0.250, 0.250)
Re (0.500, 0.500, 0.500)

## Properties
Its relative energy among the computed polymorphs is 88.3 meV per atom. The volume is 18.45 A^3/atom.

=====

[16]
Te2Pt3Pb2: optimized geometry, PBE.

Cell lengths 6.270, 6.270, 6.270 Å; angles 58.71, 58.71, 58.71 degrees
Atoms (fractional coordinates):
Pt (0.000, 0.500, 0.000)
Pt (0.500, 0.000, 0.000)
Pt (0.000, 0.000, 0.500)
Te (0.709, 0.709, 0.709)
Te (0.291, 0.291, 0.291)
Pb (0.000, 0.000, 0.000)
Pb (0.500, 0.500, 0.500)

## Properties
The calculation puts the electronic total energy at -33.537 eV/f.u. The volume is 24.16 A^3/atom.

=====

[17]
CsSiHg: optimized geometry, PBE.

Cell lengths 5.841, 5.841, 5.841 Å; angles 60.00, 60.00, 60.00 degrees
Atoms (fractional coordinates):
Hg (0.250, 0.250, 0.250)
Cs (0.000, 0.000, 0.000)
Si (0.750, 0.750, 0.750)

## Properties
Its relative energy among the computed polymorphs is 360.0 meV per atom. The volume is 46.97 A^3/atom.

=====

[18]
NbTlNO: optimized geometry, PBE.

Cell lengths 6.033, 7.861, 5.312 Å; angles 90.00, 90.00, 90.00 degrees
Atoms (fractional coordinates):
N (0.125, 0.854, 0.656)
N (0.625, 0.146, 0.656)
N (0.875, 0.146, 0.156)
N (0.375, 0.854, 0.156)
Nb (0.624, 0.989, 0.977)
Nb (0.376, 0.011, 0.477)
Nb (0.124, 0.011, 0.977)
Nb (0.876, 0.989, 0.477)
O (0.879, 0.835, 0.142)
O (0.379, 0.165, 0.142)
O (0.621, 0.835, 0.642)
O (0.121, 0.165, 0.642)
Tl (0.909, 0.398, 0.427)
Tl (0.591, 0.398, 0.927)
Tl (0.409, 0.602, 0.427)
Tl (0.091, 0.602, 0.927)

## Properties
Its relative energy among the computed polymorphs is 4.1 meV per atom. The volume is 15.75 A^3/atom.

=====

[19]
Y2Hf4Tl3C3: optimized geometry, PBE.

Cell lengths 5.952, 5.952, 15.504 Å; angles 101.25, 101.25, 60.02 degrees
Atoms (fractional coordinates):
Tl (0.022, 0.978, 0.750)
Tl (0.416, 0.190, 0.748)
Tl (0.584, 0.810, 0.252)
Tl (0.978, 0.022, 0.250)
Tl (0.810, 0.584, 0.752)
Tl (0.190, 0.416, 0.248)
C (0.851, 0.324, 0.000)
C (0.676, 0.149, 0.500)
C (0.500, 0.000, 0.000)
C (0.324, 0.851, 0.500)
C (0.149, 0.676, 0.000)
C (0.000, 0.500, 0.500)
Hf (0.693, 0.852, 0.577)
Hf (0.982, 0.800, 0.423)
Hf (0.148, 0.307, 0.923)
Hf (0.852, 0.693, 0.077)
Hf (0.307, 0.148, 0.423)
Hf (0.018, 0.200, 0.577)
Hf (0.200, 0.018, 0.077)
Hf (0.800, 0.982, 0.923)
Y (0.372, 0.534, 0.598)
Y (0.628, 0.466, 0.402)
Y (0.466, 0.628, 0.902)
Y (0.534, 0.372, 0.098)

## Properties
The calculation puts the electronic total energy at -94.227 eV/f.u. The volume is 19.31 A^3/atom.

=====

[20]
BOs2: optimized geometry, PBE.

Cell lengths 3.764, 3.764, 3.764 Å; angles 60.00, 60.00, 60.00 degrees
Atoms (fractional coordinates):
Os (0.750, 0.750, 0.750)
Os (0.250, 0.250, 0.250)
B (0.000, 0.000, 0.000)

## Properties
The calculation puts the electronic total energy at -27.726 eV/f.u. The volume is 12.57 A^3/atom.